Entry 1:
! Ca2LaDy | the Alexandria database | PBE-GGA | relaxed; values from VASP
! - volume (Å³ per atom) = 37.32
! - calculated formation energy (meV per atom) = 145.0
! - Fermi-level density of states (states/eV/cell) = 5.778
! - calculated total energy (eV per atom) = -3.24
! - energy relative to the lowest polymorph listed for this composition (meV per atom) = 41
! - theoretical density (g/cm3) = 4.24
&SYSTEM
  ibrav = 0, nat = 4, ntyp = 3
/
ATOMIC_SPECIES
Ca 40.08 Ca.upf
La 138.91 La.upf
Dy 162.50 Dy.upf
CELL_PARAMETERS angstrom
0.0000 4.2106 4.2106
4.2106 0.0000 4.2106
4.2106 4.2106 0.0000
ATOMIC_POSITIONS crystal
Ca 0.2500 0.2500 0.2500
Ca 0.7500 0.7500 0.7500
La 0.0000 0.0000 0.0000
Dy 0.5000 0.5000 0.5000

Entry 2:
! CsHoInSe3 | the Alexandria database | PBE-GGA | relaxed; values from VASP
! - volume (Å³ per atom) = 34.78
! - Fermi-level density of states (states/eV/cell) = 4.549
! - raw formation energy (eV per formula unit) = -7.7
! - calculated total energy (eV per atom) = -4.39
! - theoretical density (g/cm3) = 5.17
&SYSTEM
  ibrav = 0, nat = 12, ntyp = 4
/
ATOMIC_SPECIES
Cs 132.91 Cs.upf
Ho 164.93 Ho.upf
In 114.82 In.upf
Se 78.96 Se.upf
CELL_PARAMETERS angstrom
9.3176 0.0000 0.0000
0.0000 4.1180 0.0000
-3.9977 0.0000 10.8784
ATOMIC_POSITIONS crystal
Cs 0.2330 0.2500 0.2708
Cs 0.7670 0.7500 0.7292
Ho 0.3582 0.7500 0.8560
Ho 0.6418 0.2500 0.1440
In 0.1299 0.2500 0.5814
In 0.8701 0.7500 0.4186
Se 0.1244 0.2500 0.8084
Se 0.3275 0.7500 0.5921
Se 0.4213 0.7500 0.1115
Se 0.5787 0.2500 0.8885
Se 0.6725 0.2500 0.4079
Se 0.8756 0.7500 0.1916

Entry 3:
! UCuRh6 | the Alexandria database | PBE-GGA | relaxed; values from VASP
! - volume (Å³ per atom) = 15.12
! - calculated formation energy (meV per atom) = -308.5
! - Fermi-level density of states (states/eV/cell) = 8.073
! - calculated total energy (eV per atom) = -7.75
! - theoretical density (g/cm3) = 12.62
&SYSTEM
  ibrav = 0, nat = 8, ntyp = 3
/
ATOMIC_SPECIES
U 238.03 U.upf
Cu 63.55 Cu.upf
Rh 102.91 Rh.upf
CELL_PARAMETERS angstrom
5.5471 0.0000 0.0000
0.0000 5.5471 0.0000
0.0000 0.0000 3.9304
ATOMIC_POSITIONS crystal
U 0.0000 0.0000 0.0000
Cu 0.5000 0.5000 0.0000
Rh 0.0000 0.5000 0.0000
Rh 0.2541 0.2541 0.5000
Rh 0.2541 0.7459 0.5000
Rh 0.5000 0.0000 0.0000
Rh 0.7459 0.2541 0.5000
Rh 0.7459 0.7459 0.5000

Entry 4:
! Ti2CuNi | the Alexandria database | PBE-GGA | relaxed; values from VASP
! - volume (Å³ per atom) = 14.08
! - calculated formation energy (meV per atom) = -196.0
! - Fermi-level density of states (states/eV/cell) = 5.418
! - calculated total energy (eV per atom) = -6.61
! - theoretical density (g/cm3) = 6.43
&SYSTEM
  ibrav = 0, nat = 4, ntyp = 3
/
ATOMIC_SPECIES
Ti 47.87 Ti.upf
Cu 63.55 Cu.upf
Ni 58.69 Ni.upf
CELL_PARAMETERS angstrom
3.0299 0.0000 0.0000
0.0000 3.0299 0.0000
0.0000 0.0000 6.1350
ATOMIC_POSITIONS crystal
Ti 0.0000 0.0000 0.2421
Ti 0.0000 0.0000 0.7579
Cu 0.5000 0.5000 0.5000
Ni 0.5000 0.5000 0.0000

Entry 5:
! NpMn10Co3 | the Alexandria database | PBE-GGA | relaxed; values from VASP
! - volume (Å³ per atom) = 12.48
! - calculated formation energy (meV per atom) = 404.1
! - Fermi-level density of states (states/eV/cell) = 42.694
! - calculated total energy (eV per atom) = -8.59
! - theoretical density (g/cm3) = 9.15
&SYSTEM
  ibrav = 0, nat = 28, ntyp = 3
/
ATOMIC_SPECIES
Np 237.00 Np.upf
Mn 54.94 Mn.upf
Co 58.93 Co.upf
CELL_PARAMETERS angstrom
0.0000 5.5911 5.5911
5.5911 0.0000 5.5911
5.5911 5.5911 0.0000
ATOMIC_POSITIONS crystal
Np 0.2500 0.2500 0.2500
Np 0.7500 0.7500 0.7500
Mn 0.0000 0.0000 0.3588
Mn 0.0000 0.0000 0.6412
Mn 0.0000 0.3588 0.0000
Mn 0.0000 0.3588 0.6412
Mn 0.0000 0.6412 0.0000
Mn 0.0000 0.6412 0.3588
Mn 0.0838 0.6387 0.6387
Mn 0.3588 0.0000 0.0000
Mn 0.3588 0.0000 0.6412
Mn 0.3588 0.6412 0.0000
Mn 0.3613 0.3613 0.3613
Mn 0.3613 0.3613 0.9162
Mn 0.3613 0.9162 0.3613
Mn 0.6387 0.0838 0.6387
Mn 0.6387 0.6387 0.0838
Mn 0.6387 0.6387 0.6387
Mn 0.6412 0.0000 0.0000
Mn 0.6412 0.0000 0.3588
Mn 0.6412 0.3588 0.0000
Mn 0.9162 0.3613 0.3613
Co 0.2924 0.2924 0.7076
Co 0.2924 0.7076 0.2924
Co 0.2924 0.7076 0.7076
Co 0.7076 0.2924 0.2924
Co 0.7076 0.2924 0.7076
Co 0.7076 0.7076 0.2924

Entry 6:
! TeAs2Br | the Alexandria database | PBE-GGA | relaxed; values from VASP
! - volume (Å³ per atom) = 26.48
! - Fermi-level density of states (states/eV/cell) = 4.833
! - raw formation energy (eV per formula unit) = 1.4
! - calculated total energy (eV per atom) = -3.18
! - energy relative to the lowest polymorph listed for this composition (meV per atom) = 389
! - theoretical density (g/cm3) = 5.60
&SYSTEM
  ibrav = 0, nat = 8, ntyp = 3
/
ATOMIC_SPECIES
Te 127.60 Te.upf
As 74.92 As.upf
Br 79.90 Br.upf
CELL_PARAMETERS angstrom
-3.9013 3.9013 3.4802
3.9013 -3.9013 3.4802
3.9013 3.9013 -3.4802
ATOMIC_POSITIONS crystal
Te 0.0000 0.0000 0.0000
Te 0.7500 0.2500 0.5000
As 0.1102 0.6250 0.9852
As 0.3750 0.3602 0.4852
As 0.6398 0.1250 0.0148
As 0.8750 0.8898 0.5148
Br 0.2500 0.7500 0.5000
Br 0.5000 0.5000 0.0000

Entry 7:
! La3Pb2N | the Alexandria database | PBE-GGA | relaxed; values from VASP
! - volume (Å³ per atom) = 30.13
! - Fermi-level density of states (states/eV/cell) = 4.558
! - raw formation energy (eV per formula unit) = -5.4
! - calculated total energy (eV per atom) = -5.99
! - theoretical density (g/cm3) = 7.76
&SYSTEM
  ibrav = 0, nat = 12, ntyp = 3
/
ATOMIC_SPECIES
La 138.91 La.upf
Pb 207.20 Pb.upf
N 14.01 N.upf
CELL_PARAMETERS angstrom
1.9634 -12.6525 0.0000
1.9634 12.6525 0.0000
0.0000 0.0000 7.2763
ATOMIC_POSITIONS crystal
La 0.0932 0.9068 0.5022
La 0.0932 0.9068 0.9978
La 0.2959 0.7041 0.7500
La 0.7041 0.2959 0.2500
La 0.9068 0.0932 0.0022
La 0.9068 0.0932 0.4978
Pb 0.3180 0.6820 0.2500
Pb 0.4963 0.5037 0.7500
Pb 0.5037 0.4963 0.2500
Pb 0.6820 0.3180 0.7500
N 0.1482 0.8518 0.2500
N 0.8518 0.1482 0.7500

Entry 8:
! Sm2Tm3ScTe6 | the Alexandria database | PBE-GGA | relaxed; values from VASP
! - volume (Å³ per atom) = 28.73
! - Fermi-level density of states (states/eV/cell) = 7.321
! - raw formation energy (eV per formula unit) = -14.7
! - calculated total energy (eV per atom) = -5.23
! - theoretical density (g/cm3) = 7.79
&SYSTEM
  ibrav = 0, nat = 12, ntyp = 4
/
ATOMIC_SPECIES
Sm 150.36 Sm.upf
Tm 168.93 Tm.upf
Sc 44.96 Sc.upf
Te 127.60 Te.upf
CELL_PARAMETERS angstrom
9.4641 -2.1490 0.0000
9.4641 2.1490 0.0000
-2.0091 0.0000 8.4769
ATOMIC_POSITIONS crystal
Sm 0.1700 0.1700 0.3356
Sm 0.8300 0.8300 0.6644
Tm 0.1756 0.1756 0.8380
Tm 0.5000 0.5000 0.5000
Tm 0.8244 0.8244 0.1620
Sc 0.5000 0.5000 0.0000
Te 0.0049 0.0049 0.7582
Te 0.3381 0.3381 0.4099
Te 0.3402 0.3402 0.9285
Te 0.6598 0.6598 0.0715
Te 0.6619 0.6619 0.5901
Te 0.9951 0.9951 0.2418

> What is the theoretical density in the fifth record?

9.15 g/cm3

> What is the formula in the fifth record?

NpMn10Co3

Copy entry 1 word for word.
! Ca2LaDy | the Alexandria database | PBE-GGA | relaxed; values from VASP
! - volume (Å³ per atom) = 37.32
! - calculated formation energy (meV per atom) = 145.0
! - Fermi-level density of states (states/eV/cell) = 5.778
! - calculated total energy (eV per atom) = -3.24
! - energy relative to the lowest polymorph listed for this composition (meV per atom) = 41
! - theoretical density (g/cm3) = 4.24
&SYSTEM
  ibrav = 0, nat = 4, ntyp = 3
/
ATOMIC_SPECIES
Ca 40.08 Ca.upf
La 138.91 La.upf
Dy 162.50 Dy.upf
CELL_PARAMETERS angstrom
0.0000 4.2106 4.2106
4.2106 0.0000 4.2106
4.2106 4.2106 0.0000
ATOMIC_POSITIONS crystal
Ca 0.2500 0.2500 0.2500
Ca 0.7500 0.7500 0.7500
La 0.0000 0.0000 0.0000
Dy 0.5000 0.5000 0.5000

> Which of these has the highest theoretical density?

UCuRh6